# K8Co3O8 | Alexandria | PBE+U | relaxed
data_K8Co3O8
_cell_length_a 19.746
_cell_length_b 5.441
_cell_length_c 8.039
_cell_angle_alpha 90.00
_cell_angle_beta 108.13
_cell_angle_gamma 90.00
_symmetry_space_group_name_H-M 'C 1 2/m 1'
_symmetry_Int_Tables_number 12
_symmetry_space_group_name_Hall '-C 2y'
loop_
_atom_site_label
_atom_site_fract_x
_atom_site_fract_y
_atom_site_fract_z
K1 0.030 0.000 0.238
K2 0.105 0.500 0.940
K3 0.171 0.500 0.467
K4 0.197 0.000 0.799
Co1 0.000 0.500 0.500
Co2 0.188 0.000 0.198
O1 0.021 0.500 0.309
O2 0.110 0.000 0.009
O3 0.177 0.000 0.409
O4 0.226 0.500 0.826
# * E_tot: -4.63 eV per atom